# Er6TlCo PBE relaxed
# **Calculated formation energy**: -0.0077 eV/atom
data_Er6TlCo
_cell_length_a 7.858
_cell_length_b 9.882
_cell_length_c 6.176
_cell_angle_alpha 90.00
_cell_angle_beta 104.86
_cell_angle_gamma 90.00
_space_group_name_H-M_alt 'C 1 2/m 1'
_space_group_IT_number 12
_space_group_name_Hall '-C 2y'
loop_
_atom_site_label
_atom_site_fract_x
_atom_site_fract_y
_atom_site_fract_z
Er1 0.111 0.185 0.286
Er2 0.220 0.500 0.129
Tl1 0.000 0.500 0.500
Co1 0.000 0.000 0.000